# K6CdAg2

Crystalline K6CdAg2 at its relaxed geometry (PBE-GGA, the Alexandria database).

Values from the calculation:
Fermi-level density of states = 14.8 states/eV per cell
electronic total energy = -1.46 eV per atom

CIF file:
```
data_K6CdAg2
_chemical_formula_sum 'K24 Cd4 Ag8'
_space_group_name_H-M_alt 'I m m m'
_space_group_IT_number 71
_space_group_name_Hall '-I 2 2'
_cell_length_a 11.336
_cell_length_b 11.435
_cell_length_c 12.660
_cell_angle_alpha 90.00
_cell_angle_beta 90.00
_cell_angle_gamma 90.00
loop_
_atom_site_label
_atom_site_fract_x
_atom_site_fract_y
_atom_site_fract_z
K1 0.000 0.198 0.173
K2 0.184 0.217 0.500
K3 0.201 0.500 0.260
Cd1 0.000 0.500 0.000
Cd2 0.000 0.500 0.500
Ag1 0.000 0.000 0.388
Ag2 0.133 0.000 0.000
```